Version w
Below is a relaxed HfSbAs3 crystal, with properties calculated at the PBE level.

Values from the calculation:
For the density of states at the Fermi level, the calculation gives 2.80 states/eV per cell. The value obtained for the volume is 133.3 Å³/f.u.

a = 5.1089 Å, b = 5.1089 Å, c = 5.1089 Å
α = 90.00°, β = 90.00°, γ = 90.00°
Last column: nearest neighbours and their distance in Å.
Sites, in units of the cell vectors:
Hf 0.5000 0.5000 0.5000  12 As 3.61
As 0.0000 0.5000 0.0000  2 Sb 2.55
As 0.0000 0.0000 0.5000  2 Sb 2.55
As 0.5000 0.0000 0.0000  2 Sb 2.55
Sb 0.0000 0.0000 0.0000  6 As 2.55

Version x
Below is a relaxed HfSbAs3 crystal, with properties calculated at the PBE level.

Values from the calculation:
For the density of states at the Fermi level, the calculation gives 6.05 states/eV per cell. The value obtained for the volume is 136.2 Å³/f.u.

a = 5.1451 Å, b = 5.1451 Å, c = 5.1451 Å
α = 90.00°, β = 90.00°, γ = 90.00°
Last column: nearest neighbours and their distance in Å.
Sites, in units of the cell vectors:
As 0.0000 0.5000 0.0000  2 Hf 2.57
As 0.5000 0.0000 0.0000  2 Hf 2.57
As 0.0000 0.0000 0.5000  2 Hf 2.57
Sb 0.5000 0.5000 0.5000  12 As 3.64
Hf 0.0000 0.0000 0.0000  6 As 2.57

Least stable: version w

Version w
Below is a relaxed HfSbTe2As crystal, with properties calculated at the PBE level.

Values from the calculation:
For the density of states at the Fermi level, the calculation gives 3.43 states/eV per cell. The value obtained for the volume is 147.2 Å³/f.u.

a = 5.3415 Å, b = 5.3415 Å, c = 5.1609 Å
α = 90.00°, β = 90.00°, γ = 90.00°
Last column: nearest neighbours and their distance in Å.
Sites, in units of the cell vectors:
Te 0.5000 0.0000 0.0000  2 As 2.67
Te 0.0000 0.5000 0.0000  2 As 2.67
As 0.0000 0.0000 0.0000  2 Sb 2.58, 4 Te 2.67
Hf 0.5000 0.5000 0.5000  8 Te 3.71, 4 Sb 3.78
Sb 0.0000 0.0000 0.5000  2 As 2.58

Version x
Below is a relaxed HfSbTe2As crystal, with properties calculated at the PBE level.

Values from the calculation:
For the density of states at the Fermi level, the calculation gives 3.19 states/eV per cell. The value obtained for the volume is 169.6 Å³/f.u.

a = 5.4752 Å, b = 5.4752 Å, c = 5.6574 Å
α = 90.00°, β = 90.00°, γ = 90.00°
Last column: nearest neighbours and their distance in Å.
Sites, in units of the cell vectors:
Te 0.5000 0.0000 0.0000  2 Hf 2.74
Te 0.0000 0.5000 0.0000  2 Hf 2.74
Sb 0.0000 0.0000 0.5000  2 Hf 2.83
Hf 0.0000 0.0000 0.0000  4 Te 2.74, 2 Sb 2.83
As 0.5000 0.5000 0.5000  4 Sb 3.87, 8 Te 3.94

Least stable: version w

Version w
Below is a relaxed HfSb2TeAs crystal, with properties calculated at the PBE level.

Values from the calculation:
For the density of states at the Fermi level, the calculation gives 4.87 states/eV per cell. The value obtained for the volume is 167.2 Å³/f.u.

a = 5.5548 Å, b = 5.5548 Å, c = 5.4173 Å
α = 90.00°, β = 90.00°, γ = 90.00°
Last column: nearest neighbours and their distance in Å.
Sites, in units of the cell vectors:
Sb 0.5000 0.0000 0.0000  2 Hf 2.78
Sb 0.0000 0.5000 0.0000  2 Hf 2.78
Te 0.0000 0.0000 0.5000  2 Hf 2.71
As 0.5000 0.5000 0.5000  8 Sb 3.88, 4 Te 3.93
Hf 0.0000 0.0000 0.0000  2 Te 2.71, 4 Sb 2.78

Version x
Below is a relaxed HfSb2TeAs crystal, with properties calculated at the PBE level.

Values from the calculation:
For the density of states at the Fermi level, the calculation gives 4.02 states/eV per cell. The value obtained for the volume is 145.0 Å³/f.u.

a = 5.2049 Å, b = 5.2049 Å, c = 5.3516 Å
α = 90.00°, β = 90.00°, γ = 90.00°
Last column: nearest neighbours and their distance in Å.
Sites, in units of the cell vectors:
Sb 0.5000 0.0000 0.0000  2 As 2.60
Sb 0.0000 0.5000 0.0000  2 As 2.60
Hf 0.5000 0.5000 0.5000  4 Te 3.68, 8 Sb 3.73
Te 0.0000 0.0000 0.5000  2 As 2.68
As 0.0000 0.0000 0.0000  4 Sb 2.60, 2 Te 2.68

Least stable: version x

Version w
Below is a relaxed HfSc2As2 crystal, with properties calculated at the PBE level.

Values from the calculation:
For the density of states at the Fermi level, the calculation gives 7.19 states/eV per cell. The value obtained for the volume is 99.7 Å³/f.u.

a = 7.6549 Å, b = 7.6549 Å, c = 3.4025 Å
α = 90.00°, β = 90.00°, γ = 90.00°
Last column: nearest neighbours and their distance in Å.
Sites, in units of the cell vectors:
Sc 0.8664 0.6336 0.0000  6 As 2.72-2.90, 1 Sc 2.89, 2 Hf 2.99
Sc 0.3664 0.8664 0.0000  6 As 2.72-2.90, 1 Sc 2.89, 2 Hf 2.99
Sc 0.6336 0.1336 0.0000  6 As 2.72-2.90, 1 Sc 2.89, 2 Hf 2.99
Sc 0.1336 0.3664 0.0000  6 As 2.72-2.90, 1 Sc 2.89, 2 Hf 2.99
As 0.3293 0.1707 0.5000  6 Sc 2.72-2.90
As 0.8293 0.3293 0.5000  6 Sc 2.72-2.90
As 0.1707 0.6707 0.5000  6 Sc 2.72-2.90
As 0.6707 0.8293 0.5000  6 Sc 2.72-2.90
Hf 0.5000 0.5000 0.0000  4 Sc 2.99, 8 As 3.31
Hf 0.0000 0.0000 0.0000  4 Sc 2.99, 8 As 3.31

Version x
Below is a relaxed HfSc2As2 crystal, with properties calculated at the PBE level.

Values from the calculation:
For the density of states at the Fermi level, the calculation gives 1.82 states/eV per cell. The value obtained for the volume is 109.0 Å³/f.u.

a = 5.0726 Å, b = 5.0726 Å, c = 5.5508 Å
α = 62.81°, β = 62.81°, γ = 90.00°
Last column: nearest neighbours and their distance in Å.
Sites, in units of the cell vectors:
Sc 0.6698 0.6698 0.6603  4 As 2.63, 1 Hf 2.80, 1 Sc 2.88
Sc 0.3302 0.3302 0.3397  4 As 2.63, 1 Hf 2.80, 1 Sc 2.88
Hf 0.0000 0.0000 0.0000  2 Sc 2.80
As 0.7500 0.2500 0.5000  4 Sc 2.63
As 0.2500 0.7500 0.5000  4 Sc 2.63

Version y
Below is a relaxed HfSc2As2 crystal, with properties calculated at the PBE level.

Values from the calculation:
For the density of states at the Fermi level, the calculation gives 10.53 states/eV per cell. The value obtained for the volume is 97.2 Å³/f.u.

a = 7.2342 Å, b = 7.2342 Å, c = 3.7140 Å
α = 90.00°, β = 90.00°, γ = 90.00°
Last column: nearest neighbours and their distance in Å.
Sites, in units of the cell vectors:
Sc 0.6572 0.8428 0.5000  6 As 2.73-2.88
Sc 0.1572 0.6572 0.5000  6 As 2.73-2.88
Sc 0.8428 0.3428 0.5000  6 As 2.73-2.88
Sc 0.3428 0.1572 0.5000  6 As 2.73-2.88
Hf 0.5000 0.5000 0.0000  4 As 2.77
Hf 0.0000 0.0000 0.0000  4 As 2.77
As 0.8527 0.6473 0.0000  6 Sc 2.73-2.88, 2 Hf 2.77, 1 As 3.01
As 0.3527 0.8527 0.0000  6 Sc 2.73-2.88, 2 Hf 2.77, 1 As 3.01
As 0.6473 0.1473 0.0000  6 Sc 2.73-2.88, 2 Hf 2.77, 1 As 3.01
As 0.1473 0.3527 0.0000  6 Sc 2.73-2.88, 2 Hf 2.77, 1 As 3.01

Least stable: version x

Version w
Below is a relaxed HfSiAs2Se crystal, with properties calculated at the PBE level.

Values from the calculation:
For the density of states at the Fermi level, the calculation gives 4.38 states/eV per cell. The value obtained for the volume is 135.2 Å³/f.u.

a = 5.1685 Å, b = 5.1685 Å, c = 5.0619 Å
α = 90.00°, β = 90.00°, γ = 90.00°
Last column: nearest neighbours and their distance in Å.
Sites, in units of the cell vectors:
As 0.5000 0.0000 0.0000  2 Hf 2.58
As 0.0000 0.5000 0.0000  2 Hf 2.58
Hf 0.0000 0.0000 0.0000  2 Se 2.53, 4 As 2.58
Si 0.5000 0.5000 0.5000  8 As 3.62, 4 Se 3.65
Se 0.0000 0.0000 0.5000  2 Hf 2.53

Version x
Below is a relaxed HfSiAs2Se crystal, with properties calculated at the PBE level.

Values from the calculation:
For the density of states at the Fermi level, the calculation gives 3.20 states/eV per cell. The value obtained for the volume is 105.5 Å³/f.u.

a = 4.7142 Å, b = 4.7452 Å, c = 4.7142 Å
α = 90.00°, β = 90.00°, γ = 90.00°
Last column: nearest neighbours and their distance in Å.
Sites, in units of the cell vectors:
Hf 0.5000 0.5000 0.5000  4 Se 3.33, 8 As 3.34
Si 0.0000 0.0000 0.0000  4 As 2.36, 2 Se 2.37
Se 0.0000 0.5000 0.0000  2 Si 2.37
As 0.0000 0.0000 0.5000  2 Si 2.36
As 0.5000 0.0000 0.0000  2 Si 2.36

Least stable: version w

Version w
Below is a relaxed HfSiAsSe2 crystal, with properties calculated at the PBE level.

Values from the calculation:
For the density of states at the Fermi level, the calculation gives 1.75 states/eV per cell. The value obtained for the volume is 106.4 Å³/f.u.

a = 4.7235 Å, b = 4.7235 Å, c = 4.7699 Å
α = 90.00°, β = 90.00°, γ = 90.00°
Last column: nearest neighbours and their distance in Å.
Sites, in units of the cell vectors:
Se 0.0000 0.5000 0.0000  2 Si 2.36
Se 0.5000 0.0000 0.0000  2 Si 2.36
Hf 0.5000 0.5000 0.5000  4 As 3.34, 8 Se 3.36
As 0.0000 0.0000 0.5000  2 Si 2.38
Si 0.0000 0.0000 0.0000  4 Se 2.36, 2 As 2.38

Version x
Below is a relaxed HfSiAsSe2 crystal, with properties calculated at the PBE level.

Values from the calculation:
For the density of states at the Fermi level, the calculation gives 2.33 states/eV per cell. The value obtained for the volume is 136.1 Å³/f.u.

a = 5.1024 Å, b = 5.1024 Å, c = 5.2289 Å
α = 90.00°, β = 90.00°, γ = 90.00°
Last column: nearest neighbours and their distance in Å.
Sites, in units of the cell vectors:
Hf 0.0000 0.0000 0.0000  4 Se 2.55, 2 As 2.61
As 0.0000 0.0000 0.5000  2 Hf 2.61
Si 0.5000 0.5000 0.5000  4 As 3.61, 8 Se 3.65
Se 0.0000 0.5000 0.0000  2 Hf 2.55
Se 0.5000 0.0000 0.0000  2 Hf 2.55

Least stable: version w